(1)
CuOsPb2Br, optimized geometry, DFT PBE; DOS at the Fermi energy = 3.58 states/eV/cell; formation energy (no corrections) = 0.85 eV/atom; total magnetic moment = 0.000 μB/f.u.
1.0
5.307 0.000 0.000
0.000 5.307 0.000
0.000 0.000 5.186
Cu Os Pb Br
1 1 2 1
direct
0.000 0.000 0.000
0.500 0.500 0.500
0.000 0.500 0.500
0.500 0.000 0.500
0.500 0.500 0.000



(2)
Pm6CuOs2Br3, optimized geometry, DFT PBE; DOS at the Fermi energy = 3.52 states/eV/cell; formation energy (no corrections) = -0.73 eV/atom; total magnetic moment = 0.000 μB/f.u.
1.0
3.564 -6.174 0.000
3.564 6.174 0.000
-2.376 0.000 7.811
Pm Cu Os Br
6 1 2 3
direct
0.086 0.434 0.802
0.218 0.218 0.197
0.434 0.086 0.802
0.566 0.914 0.198
0.782 0.782 0.803
0.914 0.566 0.198
0.500 0.500 0.000
0.167 0.833 0.000
0.833 0.167 0.000
0.000 0.000 0.500
0.332 0.668 0.500
0.668 0.332 0.500



(3)
Pr6CuOs2Br3, optimized geometry, DFT PBE; DOS at the Fermi energy = 3.74 states/eV/cell; formation energy (no corrections) = -0.72 eV/atom; total magnetic moment = 0.000 μB/f.u.
1.0
3.615 -6.262 0.000
3.615 6.262 0.000
-2.408 0.000 7.912
Pr Cu Os Br
6 1 2 3
direct
0.086 0.434 0.802
0.218 0.218 0.198
0.434 0.086 0.802
0.566 0.914 0.198
0.782 0.782 0.802
0.914 0.566 0.198
0.500 0.500 0.000
0.167 0.833 0.000
0.833 0.167 0.000
0.000 0.000 0.500
0.332 0.668 0.500
0.668 0.332 0.500



(4)
Pr4CuOsBr2, optimized geometry, DFT PBE; DOS at the Fermi energy = 4.80 states/eV/cell; formation energy (no corrections) = -0.70 eV/atom; total magnetic moment = 0.000 μB/f.u.
1.0
7.178 0.000 0.000
0.000 4.220 0.000
-2.426 0.000 7.866
Pr Cu Os Br
4 1 1 2
direct
0.226 0.000 0.198
0.255 0.500 0.801
0.745 0.500 0.199
0.774 0.000 0.802
0.500 0.000 0.000
0.000 0.500 0.000
0.000 0.000 0.500
0.500 0.500 0.500



(5)
RbCuOsBr6, optimized geometry, DFT PBE; DOS at the Fermi energy = 4.03 states/eV/cell; formation energy (no corrections) = -0.50 eV/atom; total magnetic moment = 2.053 μB/f.u.
1.0
6.752 0.000 0.000
-3.376 5.847 0.000
0.000 0.000 7.774
Rb Cu Os Br
1 1 1 6
direct
0.000 0.000 0.000
0.333 0.667 0.500
0.667 0.333 0.500
0.372 0.016 0.682
0.372 0.357 0.318
0.643 0.016 0.318
0.643 0.628 0.682
0.984 0.357 0.682
0.984 0.628 0.318



(6)
Cu2OsRuBr, optimized geometry, DFT PBE; DOS at the Fermi energy = 5.06 states/eV/cell; formation energy (no corrections) = 1.83 eV/atom; total magnetic moment = 2.881 μB/f.u.
1.0
4.379 0.000 0.000
0.000 4.379 0.000
0.000 0.000 4.660
Cu Os Ru Br
2 1 1 1
direct
0.000 0.500 0.000
0.500 0.000 0.000
0.000 0.000 0.500
0.500 0.500 0.500
0.500 0.500 0.000



(7)
CuOsSe2Br, optimized geometry, DFT PBE; DOS at the Fermi energy = 5.05 states/eV/cell; formation energy (no corrections) = 0.78 eV/atom; excess energy over the best structure of this formula in the dataset = 0.0 kJ per mole of atoms; total magnetic moment = 0.000 μB/f.u.
1.0
4.767 0.000 0.000
0.000 4.767 0.000
0.000 0.000 5.449
Cu Os Se Br
1 1 2 1
direct
0.000 0.000 0.000
0.500 0.500 0.500
0.000 0.500 0.500
0.500 0.000 0.500
0.500 0.500 0.000



(8)
CuOsSeBr2, optimized geometry, DFT PBE; DOS at the Fermi energy = 2.18 states/eV/cell; formation energy (no corrections) = 0.72 eV/atom; excess energy over the best structure of this formula in the dataset = 0.0 kJ per mole of atoms; total magnetic moment = 0.000 μB/f.u.
1.0
5.293 0.000 0.000
0.000 5.293 0.000
0.000 0.000 4.603
Cu Os Se Br
1 1 1 2
direct
0.000 0.000 0.000
0.500 0.500 0.500
0.500 0.500 0.000
0.000 0.500 0.500
0.500 0.000 0.500



(9)
Sm6CuOs2Br3, optimized geometry, DFT PBE; DOS at the Fermi energy = 3.51 states/eV/cell; formation energy (no corrections) = -0.73 eV/atom; total magnetic moment = 0.000 μB/f.u.
1.0
3.546 -6.143 0.000
3.546 6.143 0.000
-2.364 0.000 7.777
Sm Cu Os Br
6 1 2 3
direct
0.086 0.434 0.803
0.218 0.218 0.197
0.434 0.086 0.803
0.566 0.914 0.197
0.782 0.782 0.803
0.914 0.566 0.197
0.500 0.500 0.000
0.167 0.833 0.000
0.833 0.167 0.000
0.000 0.000 0.500
0.332 0.668 0.500
0.668 0.332 0.500



(10)
VCuOsBr2, optimized geometry, DFT PBE; DOS at the Fermi energy = 9.74 states/eV/cell; formation energy (no corrections) = 1.28 eV/atom; total magnetic moment = 3.581 μB/f.u.
1.0
4.983 0.000 0.000
0.000 4.983 0.000
0.000 0.000 4.776
V Cu Os Br
1 1 1 2
direct
0.000 0.000 0.000
0.500 0.500 0.000
0.500 0.500 0.500
0.000 0.500 0.500
0.500 0.000 0.500



(11)
CuOsWBr2, optimized geometry, DFT PBE; DOS at the Fermi energy = 6.24 states/eV/cell; formation energy (no corrections) = 1.99 eV/atom; total magnetic moment = 4.284 μB/f.u.
1.0
4.934 0.000 0.000
0.000 4.934 0.000
0.000 0.000 4.877
Cu Os W Br
1 1 1 2
direct
0.000 0.000 0.000
0.000 0.000 0.500
0.500 0.500 0.000
0.000 0.500 0.500
0.500 0.000 0.500



(12)
ZnCuOsBr2, optimized geometry, DFT PBE; DOS at the Fermi energy = 5.31 states/eV/cell; formation energy (no corrections) = 0.85 eV/atom; total magnetic moment = 0.712 μB/f.u.
1.0
4.969 0.000 0.000
0.000 4.969 0.000
0.000 0.000 4.995
Zn Cu Os Br
1 1 1 2
direct
0.000 0.000 0.000
0.500 0.500 0.000
0.500 0.500 0.500
0.000 0.500 0.500
0.500 0.000 0.500



(13)
ZnCu2OsBr, optimized geometry, DFT PBE; DOS at the Fermi energy = 3.82 states/eV/cell; formation energy (no corrections) = 1.66 eV/atom; total magnetic moment = 1.487 μB/f.u.
1.0
4.425 0.000 0.000
0.000 4.425 0.000
0.000 0.000 5.012
Zn Cu Os Br
1 2 1 1
direct
0.000 0.000 0.000
0.000 0.500 0.500
0.500 0.000 0.500
0.500 0.500 0.000
0.000 0.000 0.500



(14)
CuPBr6, optimized geometry, DFT PBE; DOS at the Fermi energy = 6.61 states/eV/cell; formation energy (no corrections) = -0.10 eV/atom; total magnetic moment = 0.000 μB/f.u.
1.0
6.618 0.000 0.000
3.305 5.747 0.000
3.288 1.928 5.682
Cu P Br
1 1 6
direct
0.000 0.000 0.000
0.500 0.500 0.500
0.131 0.385 0.746
0.262 0.870 0.253
0.386 0.737 0.746
0.614 0.263 0.254
0.738 0.130 0.747
0.869 0.615 0.254



(15)
CuP2Br, optimized geometry, DFT PBE; DOS at the Fermi energy = 2.42 states/eV/cell; formation energy (no corrections) = 1.01 eV/atom; excess energy over the best structure of this formula in the dataset = 102.0 kJ per mole of atoms; total magnetic moment = 0.000 μB/f.u.
1.0
0.000 3.229 3.229
3.229 0.000 3.229
3.229 3.229 0.000
Cu P Br
1 2 1
direct
0.000 0.000 0.000
0.250 0.250 0.250
0.750 0.750 0.750
0.500 0.500 0.500



(16)
CuP4Br, optimized geometry, DFT PBE; formation energy (no corrections) = 0.48 eV/atom; total magnetic moment = 0.000 μB/f.u.
1.0
0.000 4.096 4.096
4.096 0.000 4.096
4.096 4.096 0.000
Cu P Br
1 4 1
direct
0.000 0.000 0.000
0.405 0.405 0.405
0.405 0.405 0.786
0.405 0.786 0.405
0.786 0.405 0.405
0.750 0.750 0.750



(17)
CuPBr, optimized geometry, DFT PBE; DOS at the Fermi energy = 1.28 states/eV/cell; formation energy (no corrections) = 0.13 eV/atom; excess energy over the best structure of this formula in the dataset = 0.0 kJ per mole of atoms; total magnetic moment = 0.000 μB/f.u.
1.0
-1.666 1.762 5.380
1.666 -1.762 5.380
1.666 1.762 -5.380
Cu P Br
1 1 1
direct
0.000 0.000 0.000
0.476 0.476 0.000
0.262 0.262 0.000



(18)
CuP2Br, optimized geometry, DFT PBE; DOS at the Fermi energy = 4.76 states/eV/cell; formation energy (no corrections) = 0.59 eV/atom; excess energy over the best structure of this formula in the dataset = 61.6 kJ per mole of atoms; total magnetic moment = 0.000 μB/f.u.
1.0
-2.895 2.895 5.455
2.895 -2.895 5.455
2.895 2.895 -5.455
Cu P Br
2 4 2
direct
0.000 0.000 0.000
0.750 0.250 0.500
0.039 0.625 0.914
0.375 0.289 0.414
0.711 0.125 0.086
0.875 0.961 0.586
0.250 0.750 0.500
0.500 0.500 0.000



(19)
CuP2Br, optimized geometry, DFT PBE; DOS at the Fermi energy = 3.41 states/eV/cell; formation energy (no corrections) = 0.49 eV/atom; excess energy over the best structure of this formula in the dataset = 52.0 kJ per mole of atoms; total magnetic moment = 0.000 μB/f.u.
1.0
-1.215 3.528 5.984
1.215 -3.528 5.984
1.215 3.528 -5.984
Cu P Br
1 2 1
direct
0.000 0.000 0.000
0.166 0.666 0.500
0.834 0.334 0.500
0.500 0.500 0.000



(20)
CuP2Br, optimized geometry, DFT PBE; DOS at the Fermi energy = 1.83 states/eV/cell; formation energy (no corrections) = 0.26 eV/atom; excess energy over the best structure of this formula in the dataset = 29.7 kJ per mole of atoms; total magnetic moment = 0.000 μB/f.u.
1.0
1.863 1.076 6.343
-1.863 1.076 6.343
0.000 -2.152 6.343
Cu P Br
1 2 1
direct
0.000 0.000 0.000
0.284 0.284 0.284
0.716 0.716 0.716
0.500 0.500 0.500